# 1
{
  "formula": "MgSN3",
  "functional": "SCAN",
  "state": "PBEsol geometry",
  "cell": [[3.521, 0.000, 0.000], [0.000, 3.521, 0.000], [0.000, 0.000, 3.521]],
  "species": ["Mg", "S", "N", "N", "N"],
  "frac_coords": [[0.000, 0.000, 0.000], [0.500, 0.500, 0.500], [0.000, 0.500, 0.500], [0.500, 0.000, 0.500], [0.500, 0.500, 0.000]],
  "space_group": "Pm-3m (221)",
  "dos_ef_per_ev_cell": 2.2
}

***

# 2
{
  "formula": "MgScSN2",
  "functional": "SCAN",
  "state": "PBEsol geometry",
  "cell": [[4.004, 0.000, 0.000], [0.000, 4.004, 0.000], [0.000, 0.000, 5.137]],
  "species": ["Mg", "Sc", "S", "N", "N"],
  "frac_coords": [[0.000, 0.000, 0.000], [0.500, 0.500, 0.500], [0.500, 0.500, 0.000], [0.000, 0.500, 0.500], [0.500, 0.000, 0.500]],
  "space_group": "P4/mmm (123)",
  "dos_ef_per_ev_cell": 2.0
}

***

Computed raw formation energy, in the same sequence as the records: 1157; -1 meV/atom.